# 1
CaMgCu | PBE | optimized geometry

Output
Its space-group type is P-6m2. For the total magnetic moment, the calculation gives 0.0 μB per formula unit. The value obtained for the energy relative to the elements is -0.0256 eV/atom.

The structure in POSCAR format:
```
CaMgCu
1.0
4.6286 0.0000 0.0000
-2.3143 4.0085 0.0000
0.0000 0.0000 3.9023
Ca Mg Cu
1 1 1
Cartesian
0.0000 0.0000 0.0000
0.0000 2.6723 1.9512
2.3143 1.3362 1.9512
```

# 2
Ca2Mg3Cu | PBE | optimized geometry

Output
Its space-group type is R-3m. For the total magnetic moment, the calculation gives 0.0 μB per formula unit. The value obtained for the energy relative to the elements is -0.0776 eV/atom.

The structure in POSCAR format:
```
Ca2Mg3Cu
1.0
3.0285 1.7485 4.7667
-3.0285 1.7485 4.7667
0.0000 -3.4971 4.7667
Ca Mg Cu
2 3 1
Cartesian
0.0000 0.0000 1.8078
0.0000 0.0000 12.4923
-1.5143 -0.8743 4.7667
-1.5143 0.8743 9.5334
0.0000 1.7485 4.7667
0.0000 0.0000 7.1500
```

# 3
CaMgCu | PBE | optimized geometry

Output
Its space-group type is Pmc2_1. For the total magnetic moment, the calculation gives 0.0 μB per formula unit. The value obtained for the energy relative to the elements is 0.0191 eV/atom.

The structure in POSCAR format:
```
CaMgCu
1.0
3.6125 0.0000 0.0000
0.0000 5.7604 0.0000
0.0000 0.0000 7.0549
Ca Mg Cu
2 2 2
Cartesian
0.0000 0.5990 0.0000
0.0000 5.1614 3.5274
1.8062 2.2895 4.5287
1.8062 3.4709 1.0013
0.0000 2.2295 2.5375
0.0000 3.5309 6.0650
```

# 4
Ca2Mg4Cu | PBE | optimized geometry

Output
Its space-group type is R-3m. For the total magnetic moment, the calculation gives 0.0 μB per formula unit. The value obtained for the energy relative to the elements is -0.0191 eV/atom.

The structure in POSCAR format:
```
Ca2Mg4Cu
1.0
2.6053 1.5042 7.3825
-2.6053 1.5042 7.3825
0.0000 -3.0083 7.3825
Ca Mg Cu
2 4 1
Cartesian
0.0000 0.0000 4.7199
0.0000 0.0000 17.4277
0.0000 0.0000 1.4161
0.0000 0.0000 8.1704
0.0000 0.0000 13.9771
0.0000 0.0000 20.7315
0.0000 0.0000 11.0738
```

# 5
CaMg2Cu2 | PBE | optimized geometry

Output
Its space-group type is Cmc2_1. For the total magnetic moment, the calculation gives 0.0 μB per formula unit. The value obtained for the energy relative to the elements is -0.1015 eV/atom.

The structure in POSCAR format:
```
CaMg2Cu2
1.0
2.1744 -8.7938 0.0000
2.1744 8.7938 0.0000
0.0000 0.0000 5.4657
Ca Mg Cu
2 4 4
Cartesian
2.1744 7.2008 2.7328
2.1744 -7.2008 0.0000
2.1744 3.8338 3.9798
2.1744 1.0769 2.6677
2.1744 -1.0769 5.4005
2.1744 -3.8338 1.2470
2.1744 5.9906 5.4343
2.1744 3.4158 1.3047
2.1744 -3.4158 4.0375
2.1744 -5.9906 2.7015
```

# 6
CaMg2Cu | PBE | optimized geometry

Output
Its space-group type is I-42d. For the total magnetic moment, the calculation gives 0.0 μB per formula unit. The value obtained for the energy relative to the elements is 0.1934 eV/atom.

The structure in POSCAR format:
```
CaMg2Cu
1.0
4.2662 0.0000 0.0000
0.0000 4.2662 0.0000
0.0000 0.0000 21.7110
Ca Mg Cu
4 8 4
Cartesian
0.0000 0.0000 0.0000
0.0000 2.1331 5.4277
2.1331 0.0000 16.2832
2.1331 2.1331 10.8555
0.9535 1.0665 13.5694
1.0665 3.0866 18.9971
1.0665 3.3126 8.1416
1.1795 1.0665 2.7139
3.0866 3.1996 2.7139
3.1996 0.9535 8.1416
3.1996 1.1795 18.9971
3.3126 3.1996 13.5694
0.0000 0.0000 10.8555
0.0000 2.1331 16.2832
2.1331 0.0000 5.4277
2.1331 2.1331 0.0000
```

# 7
CaMg2Cu | PBE | optimized geometry

Output
Its space-group type is C2/m. For the total magnetic moment, the calculation gives 0.0 μB per formula unit. The value obtained for the energy relative to the elements is 0.1428 eV/atom.

The structure in POSCAR format:
```
CaMg2Cu
1.0
5.9805 0.0000 0.0000
0.0000 10.9130 0.0000
-1.5173 0.0000 2.8560
Ca Mg Cu
2 4 2
Cartesian
0.0000 0.0000 0.0000
2.9902 5.4565 0.0000
0.7365 2.7283 1.4280
0.7365 8.1848 1.4280
3.7267 2.7283 1.4280
3.7267 8.1848 1.4280
0.0000 5.4565 0.0000
2.9902 0.0000 0.0000
```

# 8
CaMgCu | PBE | optimized geometry

Output
Its space-group type is P4/nmm. For the total magnetic moment, the calculation gives 0.0 μB per formula unit. The value obtained for the energy relative to the elements is 0.1470 eV/atom.

The structure in POSCAR format:
```
CaMgCu
1.0
4.5725 0.0000 0.0000
0.0000 4.5725 0.0000
0.0000 0.0000 7.1765
Ca Mg Cu
2 2 2
Cartesian
1.1431 3.4294 0.0000
3.4294 1.1431 0.0000
1.1431 1.1431 2.6408
3.4294 3.4294 4.5357
1.1431 1.1431 5.2677
3.4294 3.4294 1.9087
```

# 9
Ca2MgCu | PBE | optimized geometry

Output
Its space-group type is P6_3/mmc. For the total magnetic moment, the calculation gives 0.0 μB per formula unit. The value obtained for the energy relative to the elements is 0.0721 eV/atom.

The structure in POSCAR format:
```
Ca2MgCu
1.0
3.9411 0.0000 0.0000
-1.9705 3.4131 0.0000
0.0000 0.0000 18.0406
Ca Mg Cu
4 2 2
Cartesian
0.0000 2.2754 1.8096
0.0000 2.2754 7.2107
1.9705 1.1377 10.8299
1.9705 1.1377 16.2310
0.0000 2.2754 13.5305
1.9705 1.1377 4.5102
0.0000 0.0000 0.0000
0.0000 0.0000 9.0203
```

# 10
Ca2MgCu2 | PBE | optimized geometry

Output
Its space-group type is Cmcm. For the total magnetic moment, the calculation gives 0.0 μB per formula unit. The value obtained for the energy relative to the elements is -0.0468 eV/atom.

The structure in POSCAR format:
```
Ca2MgCu2
1.0
4.4911 -3.5275 0.0000
4.4911 3.5275 0.0000
0.0000 0.0000 7.7425
Ca Mg Cu
4 2 4
Cartesian
1.8178 0.0000 0.0000
1.8178 0.0000 3.8713
7.1643 0.0000 0.0000
7.1643 0.0000 3.8713
4.4911 1.2627 5.8069
4.4911 -1.2627 1.9356
4.4911 1.1535 0.7210
4.4911 1.1535 3.1502
4.4911 -1.1535 4.5923
4.4911 -1.1535 7.0215
```

# 11
Ca8Mg2Cu | PBE | optimized geometry

Output
Its space-group type is C2/m. For the total magnetic moment, the calculation gives 0.0 μB per formula unit. The value obtained for the energy relative to the elements is -0.0094 eV/atom.

The structure in POSCAR format:
```
Ca8Mg2Cu
1.0
9.6660 -2.8363 0.0000
9.6660 2.8363 0.0000
-2.3068 0.0000 6.9299
Ca Mg Cu
8 2 1
Cartesian
-0.3087 0.0000 1.9513
2.1607 0.0000 5.4577
5.6027 0.0000 3.7660
7.6915 0.0000 0.5103
9.3338 0.0000 6.4196
11.4226 0.0000 3.1639
14.8645 0.0000 1.4722
17.3339 0.0000 4.9786
3.0166 0.0000 1.5624
14.0086 0.0000 5.3675
8.5126 0.0000 3.4649
```

# 12
CaMg2Cu | PBE | optimized geometry

Output
Its space-group type is Cm. For the total magnetic moment, the calculation gives 0.0 μB per formula unit. The value obtained for the energy relative to the elements is -0.0111 eV/atom.

The structure in POSCAR format:
```
CaMg2Cu
1.0
9.6873 0.0000 0.0000
0.0000 4.0504 0.0000
-2.9015 0.0000 4.9750
Ca Mg Cu
2 4 2
Cartesian
0.0000 0.0000 0.0000
4.8437 2.0252 0.0000
-0.0767 0.0000 3.3317
2.8577 0.0000 1.9269
4.7670 2.0252 3.3317
7.7013 2.0252 1.9269
1.0316 2.0252 2.0184
5.8753 0.0000 2.0184
```